A plane-wave DFT calculation with meta-GGA SCAN was carried out for Sc2TaPb at its PBEsol-relaxed geometry.

Geometry as POSCAR:
```
Sc2TaPb
1.0
3.6986 0.0000 0.0000
0.0000 3.7005 0.0000
0.0000 0.0000 6.1833
Pb Sc Ta
1 2 1
Direct
0.5000 0.5000 0.7441
0.5000 0.5000 0.2705
0.0000 0.0000 0.9964
0.0000 0.0000 0.4889
```

## Properties
* VASP energy: -42.708 eV per atom